# NaMg6CO8 (PBE-GGA, relaxed)
data_NaMg6CO8
_symmetry_space_group_name_H-M 'P 4/m m m'
_symmetry_Int_Tables_number 123
_symmetry_space_group_name_Hall '-P 4 2'
_cell_length_a 4.433
_cell_length_b 4.433
_cell_length_c 8.020
_cell_angle_alpha 90.00
_cell_angle_beta 90.00
_cell_angle_gamma 90.00
loop_
_atom_site_label
_atom_site_fract_x
_atom_site_fract_y
_atom_site_fract_z
_atom_site_occupancy
Na1 0.000 0.000 0.000 1
Mg1 0.000 0.500 0.256 1
Mg2 0.500 0.500 0.000 1
Mg3 0.500 0.500 0.500 1
C1 0.000 0.000 0.500 1
O1 0.000 0.000 0.324 1
O2 0.000 0.500 0.000 1
O3 0.000 0.500 0.500 1
O4 0.500 0.500 0.250 1
# - DOS(E_F): 1.06 states/eV/f.u.
# - Total energy: -5.611 eV/atom
# - Relative energy among the computed polymorphs: 0.000 eV/atom
# - Formation energy from raw total energies: -1.875 eV per atom


# MgRe (PBE-GGA, relaxed)
data_MgRe
_symmetry_space_group_name_H-M 'P 4/m m m'
_symmetry_Int_Tables_number 123
_symmetry_space_group_name_Hall '-P 4 2'
_cell_length_a 3.470
_cell_length_b 3.470
_cell_length_c 2.672
_cell_angle_alpha 90.00
_cell_angle_beta 90.00
_cell_angle_gamma 90.00
loop_
_atom_site_label
_atom_site_fract_x
_atom_site_fract_y
_atom_site_fract_z
_atom_site_occupancy
Mg1 0.000 0.000 0.000 1
Re1 0.500 0.500 0.500 1
# - DOS(E_F): 2.22 states/eV/f.u.
# - Formation energy from the elements: 0.72 eV/atom
# - Total energy: -6.298 eV/atom
# - Relative energy among the computed polymorphs: 0.657 eV/atom